Entry from Alexandria: a relaxed structure of Ba2SiSe (PBE).

Geometry as POSCAR:
```
Ba2SiSe
1.0
-1.638 5.301 4.335
1.293 -0.026 6.922
3.109 -1.234 -6.196
Se Ba Si
1 2 1
Cartesian
-0.172 2.631 5.614 Se
-0.344 5.265 11.235 Ba
0.651 3.330 1.837 Ba
2.112 0.727 3.260 Si
```

Results
M_tot = 0.000 μB/atom
Energy above the lowest structure with this stoichiometry = 0.240 eV/atom
Formation energy without anion corrections = -61 kJ per mole of atoms
Total DFT energy (no corrections) = -3.820 eV/atom
Density of states at the Fermi level = 4.2 states/eV/cell

Entry from Alexandria: a relaxed structure of BaSiSe2 (PBE).

Geometry as POSCAR:
```
BaSiSe2
1.0
5.031 -1.301 1.126
1.088 -2.939 4.295
1.635 -5.028 -0.563
Si Se Ba
1 2 1
Cartesian
0.000 0.000 0.000 Si
1.939 -2.317 1.214 Se
5.816 -6.951 3.643 Se
3.877 -4.634 2.429 Ba
```

Results
M_tot = 0.000 μB/atom
Energy above the lowest structure with this stoichiometry = 0.433 eV/atom
Formation energy without anion corrections = -55 kJ per mole of atoms
Total DFT energy (no corrections) = -4.146 eV/atom
Density of states at the Fermi level = 0.0 states/eV/cell

Entry from Alexandria: a relaxed structure of Ba2SiSe2 (PBE).

Geometry as POSCAR:
```
Ba2SiSe2
1.0
6.407 0.000 0.000
0.000 6.407 0.000
3.203 3.203 4.715
Se Si Ba
2 1 2
Cartesian
6.407 6.407 2.739 Se
3.203 3.203 1.976 Se
0.000 0.000 0.000 Si
6.407 3.203 2.357 Ba
3.203 6.407 2.357 Ba
```

Results
M_tot = 0.400 μB/atom
Energy above the lowest structure with this stoichiometry = 0.164 eV/atom
Formation energy without anion corrections = -84 kJ per mole of atoms
Total DFT energy (no corrections) = -4.123 eV/atom
Density of states at the Fermi level = 1.3 states/eV/cell

Entry from Alexandria: a relaxed structure of Ba2SiSe (PBE).

Geometry as POSCAR:
```
Ba2SiSe
1.0
0.000 4.058 4.058
4.058 0.000 4.058
4.058 4.058 0.000
Si Ba Se
1 2 1
Cartesian
0.000 0.000 0.000 Si
6.088 6.088 6.088 Ba
2.029 2.029 2.029 Ba
4.058 4.058 4.058 Se
```

Results
M_tot = 0.497 μB/atom
Energy above the lowest structure with this stoichiometry = 0.168 eV/atom
Formation energy without anion corrections = -68 kJ per mole of atoms
Total DFT energy (no corrections) = -3.892 eV/atom
Density of states at the Fermi level = 2.9 states/eV/cell

Entry from Alexandria: a relaxed structure of Ba2SiSe (PBE).

Geometry as POSCAR:
```
Ba2SiSe
1.0
3.914 0.000 0.000
0.000 3.905 0.000
0.000 3.908 8.578
Si Ba Se
1 2 1
Cartesian
1.957 5.860 6.434 Si
0.000 3.906 0.145 Ba
0.000 3.906 4.144 Ba
1.957 1.953 2.145 Se
```

Results
M_tot = 0.000 μB/atom
Energy above the lowest structure with this stoichiometry = 0.000 eV/atom
Formation energy without anion corrections = -84 kJ per mole of atoms
Total DFT energy (no corrections) = -4.060 eV/atom
Density of states at the Fermi level = 3.2 states/eV/cell

Entry from Alexandria: a relaxed structure of Ba2SiSe (PBE).

Geometry as POSCAR:
```
Ba2SiSe
1.0
-2.920 -2.255 5.130
-1.517 -5.645 2.401
4.703 0.346 1.988
Se Si Ba
1 1 2
Cartesian
0.545 -3.466 4.584 Se
-0.357 -2.211 2.562 Si
-0.257 -5.666 6.904 Ba
0.470 0.011 0.228 Ba
```

Results
M_tot = 0.000 μB/atom
Energy above the lowest structure with this stoichiometry = 0.025 eV/atom
Formation energy without anion corrections = -82 kJ per mole of atoms
Total DFT energy (no corrections) = -4.036 eV/atom
Density of states at the Fermi level = 0.9 states/eV/cell

Entry from Alexandria: a relaxed structure of BaSiSe3 (PBE).

Geometry as POSCAR:
```
BaSiSe3
1.0
6.104 0.000 0.000
0.000 6.104 0.000
0.000 0.000 6.104
Se Ba Si
3 1 1
Cartesian
0.000 0.000 3.052 Se
0.000 3.052 0.000 Se
3.052 0.000 0.000 Se
0.000 0.000 0.000 Ba
3.052 3.052 3.052 Si
```

Results
M_tot = 0.400 μB/atom
Energy above the lowest structure with this stoichiometry = 1.848 eV/atom
Formation energy without anion corrections = 70 kJ per mole of atoms
Total DFT energy (no corrections) = -2.837 eV/atom
Density of states at the Fermi level = 8.8 states/eV/cell

Entry from Alexandria: a relaxed structure of BaSiSe2 (PBE).

Geometry as POSCAR:
```
BaSiSe2
1.0
3.827 0.000 0.000
0.000 4.249 -0.197
0.000 0.400 7.270
Ba Si Se
1 1 2
Cartesian
1.913 3.486 5.304 Ba
1.913 1.162 1.768 Si
0.000 1.045 -0.045 Se
0.000 1.279 3.581 Se
```

Results
M_tot = 0.000 μB/atom
Energy above the lowest structure with this stoichiometry = 0.286 eV/atom
Formation energy without anion corrections = -69 kJ per mole of atoms
Total DFT energy (no corrections) = -4.293 eV/atom
Density of states at the Fermi level = 2.8 states/eV/cell

Entry from Alexandria: a relaxed structure of BaSiSe2 (PBE).

Geometry as POSCAR:
```
BaSiSe2
1.0
-5.179 -1.060 -2.203
-2.861 -1.302 4.788
2.722 4.472 -2.323
Ba Si Se
1 1 2
Cartesian
-2.079 0.994 1.879 Ba
-3.239 1.116 -1.617 Si
-4.548 -1.336 1.462 Se
-7.512 -2.207 2.415 Se
```

Results
M_tot = 0.000 μB/atom
Energy above the lowest structure with this stoichiometry = 0.303 eV/atom
Formation energy without anion corrections = -67 kJ per mole of atoms
Total DFT energy (no corrections) = -4.275 eV/atom
Density of states at the Fermi level = 2.3 states/eV/cell

Entry from Alexandria: a relaxed structure of Ba4SiSe (PBE).

Geometry as POSCAR:
```
Ba4SiSe
1.0
-0.334 -6.512 2.358
-5.053 -4.220 -2.176
1.484 -5.296 -4.221
Ba Si Se
4 1 1
Cartesian
-1.464 -6.015 -1.516 Ba
-3.985 -8.120 -2.601 Ba
-1.631 -9.264 -0.339 Ba
-0.724 -8.657 -3.622 Ba
0.000 0.000 0.000 Si
-2.927 -12.021 -3.029 Se
```

Results
M_tot = 0.000 μB/atom
Formation energy without anion corrections = 25 kJ per mole of atoms
Total DFT energy (no corrections) = -2.503 eV/atom
Density of states at the Fermi level = 4.6 states/eV/cell

Entry from Alexandria: a relaxed structure of BaSiSe2 (PBE).

Geometry as POSCAR:
```
BaSiSe2
1.0
-3.782 -2.031 -0.881
1.303 -0.631 -4.136
2.661 -5.695 1.708
Se Si Ba
2 1 1
Cartesian
2.562 -5.482 1.644 Se
-0.291 -3.360 -1.901 Se
0.873 -1.868 0.560 Si
1.032 -6.191 -1.052 Ba
```

Results
M_tot = 0.000 μB/atom
Energy above the lowest structure with this stoichiometry = 0.165 eV/atom
Formation energy without anion corrections = -81 kJ per mole of atoms
Total DFT energy (no corrections) = -4.414 eV/atom

Entry from Alexandria: a relaxed structure of Ba2SiSe (PBE).

Geometry as POSCAR:
```
Ba2SiSe
1.0
5.555 -0.012 -0.001
-0.942 5.475 0.001
-2.306 -2.731 4.252
Se Ba Si
1 2 1
Cartesian
2.777 -0.006 2.125 Se
4.612 5.462 0.000 Ba
2.307 2.732 0.000 Ba
-0.471 2.737 2.127 Si
```

Results
M_tot = 0.007 μB/atom
Energy above the lowest structure with this stoichiometry = 0.169 eV/atom
Formation energy without anion corrections = -68 kJ per mole of atoms
Total DFT energy (no corrections) = -3.891 eV/atom
Density of states at the Fermi level = 5.2 states/eV/cell